(1)
Computed, not measured: an optimized crystal structure of SnIrSe2 at the PBE-GGA level of DFT.

POSCAR file:
```
SnIrSe2
1.0
7.092 2.913 3.242
8.215 -0.243 1.319
7.709 3.089 -0.566
Ir Sn Se
1 1 2
direct
0.000 0.000 0.000
0.500 0.500 0.500
0.903 0.903 0.903
0.097 0.097 0.097
```

Computed properties:
As for the space group: No. 166.



(2)
Computed, not measured: an optimized crystal structure of SnIrSe at the PBE-GGA level of DFT.

POSCAR file:
```
SnIrSe
1.0
7.159 -0.050 0.000
-3.571 5.461 0.000
0.000 0.000 6.424
Sn Ir Se
4 4 4
direct
0.358 0.739 0.141
0.642 0.761 0.641
0.358 0.239 0.359
0.642 0.261 0.859
0.790 0.487 0.493
0.210 0.513 0.507
0.210 0.013 0.993
0.790 0.987 0.007
0.152 0.837 0.631
0.848 0.663 0.131
0.152 0.337 0.869
0.848 0.163 0.369
```

Computed properties:
As for the space group: No. 14.



Computed values of DFT total energy (unit: eV/atom) for the preceding records, in sequence: -4.492; -5.854.
Computed values of energy relative to the elements, uncorrected (unit: eV per atom) for the preceding records, in sequence: 0.47; -0.40.